(1)
Material: TlBrF3
Method: DFT, GGA-PBE
State: optimized geometry

a b c (Å): 4.8870 7.0087 5.4051
angles (deg): 90.00 104.70 90.00
Element x y z (fractional)
Tl1 0.1056 0.2500 0.0133
Tl2 0.8944 0.7500 0.9867
Br1 0.4047 0.2500 0.5085
Br2 0.5953 0.7500 0.4915
F1 0.0791 0.7500 0.4179
F2 0.2342 0.5466 0.9370
F3 0.2342 0.9534 0.9370
F4 0.7658 0.0466 0.0630
F5 0.7658 0.4534 0.0630
F6 0.9209 0.2500 0.5821

**Density**: 6.3 g/cm³
**SG**: No. 11
**Spin magnetization**: 0.001 μB per atom
**Offset from the most stable computed form**: 13.2 meV/atom
**N(E_F)**: 0.25 states/eV/atom
**Crystal system**: monoclinic

(2)
Material: TlBrF
Method: DFT, GGA-PBE
State: optimized geometry

a b c (Å): 4.1955 4.1955 4.6608
angles (deg): 90.00 90.00 120.00
Element x y z (fractional)
Tl1 0.0000 0.0000 0.0000
Br1 0.3333 0.6667 0.4075
F1 0.6667 0.3333 0.8886

**Density**: 7.1 g/cm³
**SG**: No. 156
**Spin magnetization**: 0.000 μB per atom
**Offset from the most stable computed form**: 207.5 meV/atom
**N(E_F)**: 1.04 states/eV/atom
**Crystal system**: trigonal

(3)
Material: TlBr2F
Method: DFT, GGA-PBE
State: optimized geometry

a b c (Å): 7.4374 7.4374 7.4374
angles (deg): 149.07 144.69 47.64
Element x y z (fractional)
Tl1 0.0000 0.0000 0.0000
Br1 0.1418 0.6418 0.5000
Br2 0.8582 0.3582 0.5000
F1 0.5000 0.0000 0.5000

**Density**: 5.2 g/cm³
**SG**: No. 71
**Spin magnetization**: 0.000 μB per atom
**Offset from the most stable computed form**: 0.0 meV/atom
**Crystal system**: orthorhombic